A plane-wave DFT calculation with PBE with a Hubbard U was carried out for Ni3BrO after structural relaxation.

Summary:
VASP energy: -1.09 eV per atom
energy above the most stable polymorph in this dataset: 1.789 eV/atom
size of the total moment: 3.000 μB/f.u.

a = 4.381 Å, b = 4.381 Å, c = 4.381 Å
α = 90.00°, β = 90.00°, γ = 90.00°
Space group Pm-3m (No. 221)
Unique sites:
Ni (0.000, 0.000, 0.500)
Br (0.000, 0.000, 0.000)
O (0.500, 0.500, 0.500)